# 1
A relaxed structure of PaAlGa4Ir2, computed with GGA-PBE.

Lattice parameters (Å, degrees): 3.5308 3.5308 11.6461 90.00 90.00 90.00
Space group P4/mmm (No. 123)
Symmetry-distinct sites (fractional):
Pa1 0.0000 0.0000 0.0000
Al1 0.0000 0.0000 0.5000
Ga1 0.0000 0.5000 0.2227
Ir1 0.5000 0.5000 0.3865

=====

# 2
A relaxed structure of AlGaIrPd, computed with GGA-PBE.

Lattice parameters (Å, degrees): 6.1322 6.1322 6.1322 90.00 90.00 90.00
Space group F-43m (No. 216)
Symmetry-distinct sites (fractional):
Al1 0.0000 0.0000 0.0000
Ga1 0.0000 0.0000 0.5000
Ir1 0.2500 0.2500 0.7500
Pd1 0.2500 0.2500 0.2500

=====

# 3
A relaxed structure of Pm2AlGa4Ir3, computed with GGA-PBE.

Lattice parameters (Å, degrees): 4.0815 4.0815 11.3039 90.00 90.00 90.00
Space group P-4m2 (No. 115)
Symmetry-distinct sites (fractional):
Pm1 0.0000 0.5000 0.2440
Al1 0.0000 0.0000 0.5000
Ga1 0.0000 0.0000 0.0000
Ga2 0.0000 0.5000 0.6398
Ga3 0.5000 0.5000 0.0000
Ir1 0.0000 0.5000 0.8642
Ir2 0.5000 0.5000 0.5000

=====

# 4
A relaxed structure of Pm2AlGa6Ir, computed with GGA-PBE.

Lattice parameters (Å, degrees): 6.3889 6.3889 35.5677 90.00 90.00 120.00
Space group R-3m (No. 166, hexagonal axes)
Symmetry-distinct sites (fractional):
Pm1 0.0000 0.0000 0.1345
Pm2 0.0000 0.0000 0.3120
Al1 0.0000 0.0000 0.0000
Al2 0.0000 0.0000 0.5000
Ga1 0.0304 0.5152 0.7211
Ga2 0.0755 0.5378 0.8803
Ir1 0.0000 0.0000 0.4301

=====

# 5
A relaxed structure of Pm2Al2GaIr5, computed with GGA-PBE.

Lattice parameters (Å, degrees): 9.9708 9.9708 3.4966 90.00 90.00 90.00
Space group P4/mbm (No. 127)
Symmetry-distinct sites (fractional):
Pm1 0.1761 0.3239 0.0000
Al1 0.1237 0.6237 0.0000
Ga1 0.0000 0.0000 0.0000
Ir1 0.0000 0.5000 0.5000
Ir2 0.0622 0.7953 0.5000

=====

# 6
A relaxed structure of PmAlGaIr2, computed with GGA-PBE.

Lattice parameters (Å, degrees): 4.4089 13.3324 6.7096 90.00 90.00 90.00
Space group Cmcm (No. 63)
Symmetry-distinct sites (fractional):
Pm1 0.0000 0.1183 0.2500
Al1 0.0000 0.1898 0.7500
Ga1 0.0000 0.5000 0.0000
Ir1 0.0000 0.3206 0.0405

=====

Result set for M_tot: 0.0, 0.0, 0.0, 0.0, 0.0, 0.0 μB/cell, one per record in the order listed.
Result set for uncorrected energy: -5.48, -5.86, -5.86, -4.42, -7.07, -6.43 eV per atom, one per record in the order listed.
Result set for formation energy: -0.10, -0.66, -0.67, -0.39, -0.64, -0.59 eV per atom, one per record in the order listed.